Entry from Alexandria: a relaxed structure of NbV4W2 (GGA-PBE).

Computed properties:
Total magnetization (Bohr magnetons per cell): 0.00
Calculated volume (A^3/atom): 15.801
Crystal system: triclinic
ΔH_f (0 K) (eV/atom): 0.4531
N(E_F) (states/eV per cell): 16.60

Cell lengths 5.259, 6.737, 6.763 Å; angles 80.90, 74.33, 74.39 degrees
Fractional positions:
Nb (0.239, 0.025, 0.024)
Nb (0.761, 0.975, 0.976)
V (0.225, 0.753, 0.752)
V (0.308, 0.256, 0.257)
V (0.367, 0.637, 0.145)
V (0.370, 0.145, 0.638)
V (0.630, 0.855, 0.362)
V (0.633, 0.363, 0.855)
V (0.692, 0.744, 0.743)
V (0.775, 0.247, 0.248)
W (0.000, 0.000, 0.500)
W (0.000, 0.500, 0.000)
W (0.000, 0.500, 0.500)
W (0.500, 0.500, 0.500)